DFT (GGA-PBE) results for crystalline SrAgPt2 at its relaxed geometry.

POSCAR file:
```
SrAgPt2
1.0
-0.434 -0.201 -3.265
3.202 -0.701 -0.383
-1.513 -7.261 0.647
Ag Pt Sr
1 2 1
Direct
0.500 0.500 0.750
0.000 0.000 0.964
0.000 0.000 0.536
0.500 0.500 0.250
```

Results
Total energy ... -17.4 eV per cell
Formation energy ... -185 meV/atom